# 1
# LaMgZn2Ga PBEsol optimized geometry
# - energy of formation from the pure elements (kJ per mole of atoms) = 108.9
data_LaMgZn2Ga
_chemical_formula_sum 'La1 Mg1 Zn2 Ga1'
_cell_length_a 5.4868
_cell_length_b 5.4868
_cell_length_c 6.1520
_cell_angle_alpha 90.00
_cell_angle_beta 90.00
_cell_angle_gamma 90.00
_symmetry_space_group_name_H-M 'P 1'
_symmetry_Int_Tables_number 1
loop_
_symmetry_equiv_pos_as_xyz
'x,y,z'
loop_
_atom_site_label
_atom_site_type_symbol
_atom_site_fract_x
_atom_site_fract_y
_atom_site_fract_z
La1 La 0.0000 0.0000 0.0000
Mg1 Mg 0.0000 0.0000 0.5000
Zn1 Zn 0.0000 0.5000 0.0000
Zn2 Zn 0.5000 0.0000 0.0000
Ga1 Ga 0.5000 0.5000 0.5000

***

# 2
# LiCd3Ni PBEsol optimized geometry
# - energy of formation from the pure elements (kJ per mole of atoms) = 12.7
data_LiCd3Ni
_chemical_formula_sum 'Li1 Cd3 Ni1'
_cell_length_a 4.8679
_cell_length_b 4.8679
_cell_length_c 4.8679
_cell_angle_alpha 90.00
_cell_angle_beta 90.00
_cell_angle_gamma 90.00
_symmetry_space_group_name_H-M 'P 1'
_symmetry_Int_Tables_number 1
loop_
_symmetry_equiv_pos_as_xyz
'x,y,z'
loop_
_atom_site_label
_atom_site_type_symbol
_atom_site_fract_x
_atom_site_fract_y
_atom_site_fract_z
Li1 Li 0.0000 0.0000 0.0000
Cd1 Cd 0.0000 0.5000 0.5000
Cd2 Cd 0.5000 0.0000 0.5000
Cd3 Cd 0.5000 0.5000 0.0000
Ni1 Ni 0.5000 0.5000 0.5000

***

# 3
# LiMg2Cu PBEsol optimized geometry
# - energy of formation from the pure elements (kJ per mole of atoms) = 5.1
data_LiMg2Cu
_chemical_formula_sum 'Li3 Mg6 Cu3'
_cell_length_a 2.9744
_cell_length_b 2.9744
_cell_length_c 27.6743
_cell_angle_alpha 90.00
_cell_angle_beta 90.00
_cell_angle_gamma 120.00
_symmetry_space_group_name_H-M 'P 1'
_symmetry_Int_Tables_number 1
loop_
_symmetry_equiv_pos_as_xyz
'x,y,z'
loop_
_atom_site_label
_atom_site_type_symbol
_atom_site_fract_x
_atom_site_fract_y
_atom_site_fract_z
Li1 Li 0.0000 0.0000 0.0000
Li2 Li 0.3333 0.6667 0.6667
Li3 Li 0.6667 0.3333 0.3333
Mg1 Mg 0.0000 0.0000 0.2424
Mg2 Mg 0.0000 0.0000 0.7577
Mg3 Mg 0.3333 0.6667 0.4243
Mg4 Mg 0.3333 0.6667 0.9090
Mg5 Mg 0.6667 0.3333 0.0910
Mg6 Mg 0.6667 0.3333 0.5757
Cu1 Cu 0.0000 0.0000 0.5000
Cu2 Cu 0.3333 0.6667 0.1667
Cu3 Cu 0.6667 0.3333 0.8333